A relaxed Na2ReSbOs crystal. Source: Alexandria, functional PBE.

abc: 5.3653 5.3653 4.9241
angles: 90.00 90.00 90.00
Space group P4/mmm (No. 123)
Inequivalent atoms, fractional coordinates:
1 Na 0.0000 0.5000 0.0000 (multiplicity 2)
2 Re 0.0000 0.0000 0.5000 (multiplicity 1)
3 Sb 0.5000 0.5000 0.0000 (multiplicity 1)
4 Os 0.5000 0.5000 0.5000 (multiplicity 1)

Values from the calculation:
Final energy (eV/cell): -20.7
Formation energy (no corrections) (meV per atom): 1945

A relaxed TmLuZnRh crystal. Source: Alexandria, functional PBE.

abc: 6.8534 6.8534 6.8534
angles: 90.00 90.00 90.00
Space group F-43m (No. 216)
Inequivalent atoms, fractional coordinates:
1 Tm 0.0000 0.0000 0.0000 (multiplicity 4)
2 Lu 0.0000 0.0000 0.5000 (multiplicity 4)
3 Zn 0.2500 0.2500 0.2500 (multiplicity 4)
4 Rh 0.2500 0.2500 0.7500 (multiplicity 4)

Values from the calculation:
Final energy (eV/cell): -81.0
Formation enthalpy at 0 K (meV/atom): -659

A relaxed Co2NiPb crystal. Source: Alexandria, functional PBE.

abc: 3.1209 3.1218 6.0607
angles: 90.00 90.04 90.00
Space group Pm (No. 6)
Inequivalent atoms, fractional coordinates:
1 Co 0.0000 0.0000 0.0000 (multiplicity 1)
2 Co 0.4994 0.5000 0.8207 (multiplicity 1)
3 Ni 0.5014 0.5000 0.2175 (multiplicity 1)
4 Pb 0.0008 0.0000 0.5018 (multiplicity 1)

Values from the calculation:
Final energy (eV/cell): -22.2
Formation enthalpy at 0 K (meV/atom): 384

A relaxed Sc2CuTc2 crystal. Source: Alexandria, functional PBE.

abc: 6.6133 6.6133 4.0529
angles: 90.00 90.00 90.00
Space group P4/mbm (No. 127)
Inequivalent atoms, fractional coordinates:
1 Sc 0.1772 0.3228 0.0000 (multiplicity 4)
2 Cu 0.0000 0.0000 0.5000 (multiplicity 2)
3 Tc 0.1269 0.6269 0.5000 (multiplicity 4)

Values from the calculation:
Final energy (eV/cell): -75.1
Formation enthalpy at 0 K (meV/atom): -11

| no. | mass density (g cm⁻³) |
| --- | --- |
| 1 | 6.37 |
| 2 | 10.57 |
| 3 | 10.79 |
| 4 | 6.55 |